Below is a geometry-optimized Er5Si2Sb2 structure, with properties calculated at the PBE level.

Its space-group type is Cmce, No. 64. As for the total energy: -100.2 eV for the cell shown. The value obtained for the energy relative to the elements, uncorrected is -0.909 eV per atom.

Cell: 8.4463 8.4463 7.7959 Å, 90.00 90.00 54.77°
Last column: nearest neighbours and their distance in Å.
Element x y z (fractional)
Er (0.0000, 0.0000, 0.0000)  4 Si 3.04-3.05, 2 Sb 3.09
Er (0.0409, 0.7083, 0.6662)  3 Si 2.92-3.00, 3 Sb 3.12-3.15
Er (0.2083, 0.5409, 0.1662)  3 Si 2.92-3.00, 3 Sb 3.12-3.15
Er (0.2917, 0.9591, 0.6662)  3 Si 2.92-3.00, 3 Sb 3.12-3.15
Er (0.4591, 0.7917, 0.1662)  3 Si 2.92-3.00, 3 Sb 3.12-3.15
Er (0.5000, 0.5000, 0.5000)  4 Si 3.04-3.05, 2 Sb 3.09
Er (0.5409, 0.2083, 0.8338)  3 Si 2.92-3.00, 3 Sb 3.12-3.15
Er (0.7083, 0.0409, 0.3338)  3 Si 2.92-3.00, 3 Sb 3.12-3.15
Er (0.7917, 0.4591, 0.8338)  3 Si 2.92-3.00, 3 Sb 3.12-3.15
Er (0.9591, 0.2917, 0.3338)  3 Si 2.92-3.00, 3 Sb 3.12-3.15
Si (0.1319, 0.8681, 0.3691)  1 Si 2.89, 8 Er 2.92-3.05
Si (0.3681, 0.6319, 0.8691)  1 Si 2.89, 8 Er 2.92-3.05
Si (0.6319, 0.3681, 0.1309)  1 Si 2.89, 8 Er 2.92-3.05
Si (0.8681, 0.1319, 0.6309)  1 Si 2.89, 8 Er 2.92-3.05
Sb (0.2059, 0.2059, 0.0000)  7 Er 3.09-3.15
Sb (0.2941, 0.2941, 0.5000)  7 Er 3.09-3.15
Sb (0.7059, 0.7059, 0.5000)  7 Er 3.09-3.15
Sb (0.7941, 0.7941, 0.0000)  7 Er 3.09-3.15